Entry 1:
The following is a DFT calculation (GGA-PBE) of an optimized crystal structure of Ce3BeSi6Pt2.

Unit cell a=5.7035 b=5.7035 c=7.9122 alpha=90.00 beta=90.00 gamma=120.00
Space group P-3m1 (No. 164)
Asymmetric unit:
1 Ce 0.0000 0.0000 0.0000 [1 per cell]
2 Ce 0.3333 0.6667 0.6367 [2 per cell]
3 Be 0.0000 0.0000 0.5000 [1 per cell]
4 Si 0.1866 0.3732 0.3011 [6 per cell]
5 Pt 0.3333 0.6667 0.0468 [2 per cell]

**Crystal system**: trigonal
**Energy relative to the elements, uncorrected**: -418 meV/atom

Entry 2:
The following is a DFT calculation (GGA-PBE) of an optimized crystal structure of LuCuPbSe3.

Unit cell a=4.028 b=10.446 c=7.116 alpha=90.00 beta=106.40 gamma=90.00
Space group P2_1/m (No. 11)
Asymmetric unit:
1 Lu 0.000 0.000 0.000 [2 per cell]
2 Cu 0.472 0.250 0.938 [2 per cell]
3 Pb 0.238 0.750 0.481 [2 per cell]
4 Se 0.080 0.250 0.158 [2 per cell]
5 Se 0.362 0.061 0.724 [4 per cell]

**Crystal system**: monoclinic
**Energy relative to the elements, uncorrected**: -991 meV/atom

Entry 3:
The following is a DFT calculation (GGA-PBE) of an optimized crystal structure of Dy4Er2In.

Unit cell a=4.6703 b=4.6703 c=38.5206 alpha=90.00 beta=90.00 gamma=120.00
Space group R-3m (No. 166, hexagonal axes)
Asymmetric unit:
1 Dy 0.0000 0.0000 0.0897 [6 per cell]
2 Dy 0.0000 0.0000 0.2969 [6 per cell]
3 Er 0.0000 0.0000 0.1922 [6 per cell]
4 In 0.0000 0.0000 0.0000 [3 per cell]

**Formation energy from the elements**: 407 meV per atom
**Energy relative to the lowest polymorph listed for this composition**: 444 meV per atom
**Crystal system**: trigonal

Entry 4:
The following is a DFT calculation (GGA-PBE) of an optimized crystal structure of Sm2Al9Ni3.

Unit cell a=13.031 b=7.476 c=10.373 alpha=90.00 beta=114.77 gamma=90.00
Space group C2/c (No. 15)
Asymmetric unit:
1 Sm 0.169 0.084 0.250 [8 per cell]
2 Al 0.000 0.370 0.250 [4 per cell]
3 Al 0.061 0.083 0.931 [8 per cell]
4 Al 0.099 0.415 0.047 [8 per cell]
5 Al 0.105 0.314 0.748 [8 per cell]
6 Al 0.227 0.417 0.433 [8 per cell]
7 Ni 0.085 0.245 0.500 [8 per cell]
8 Ni 0.250 0.250 0.000 [4 per cell]

**Formation energy from the elements**: -556 meV per atom
**Crystal system**: monoclinic